First-principles (GGA+U) data for a relaxed Na7Ni17O24 crystal, as listed in Alexandria via LeMat-Bulk.

POSCAR file:
```
Na7Ni17O24
1.0
5.981 0.000 0.000
2.902 5.282 0.000
0.138 -0.064 14.761
Na Ni O
7 17 24
direct
0.000 0.000 0.000
0.028 0.481 0.500
0.176 0.669 0.667
0.332 0.844 0.832
0.369 0.316 0.332
0.496 0.002 0.996
0.874 0.308 0.334
0.004 0.499 0.998
0.029 0.978 0.500
0.183 0.165 0.664
0.186 0.156 0.166
0.186 0.656 0.165
0.336 0.342 0.831
0.367 0.813 0.334
0.501 0.503 0.998
0.524 0.485 0.497
0.529 0.980 0.501
0.678 0.167 0.667
0.679 0.664 0.665
0.685 0.156 0.166
0.686 0.656 0.165
0.833 0.343 0.831
0.840 0.837 0.835
0.865 0.809 0.336
0.029 0.507 0.237
0.033 0.961 0.240
0.129 0.215 0.906
0.164 0.644 0.917
0.196 0.674 0.415
0.234 0.106 0.427
0.337 0.349 0.088
0.342 0.806 0.091
0.367 0.837 0.580
0.386 0.301 0.589
0.524 0.017 0.742
0.533 0.504 0.236
0.536 0.962 0.240
0.545 0.481 0.754
0.670 0.196 0.902
0.675 0.667 0.415
0.697 0.631 0.910
0.700 0.126 0.428
0.817 0.850 0.582
0.834 0.354 0.087
0.837 0.313 0.593
0.839 0.804 0.090
0.966 0.051 0.752
0.986 0.492 0.756
```

Total DFT energy (no corrections) (eV per formula unit): -222.78
Space group: P1, No. 1
DOS at the Fermi energy (states/eV/cell): 9.11